Material: LiMnP3O9
Method: DFT, GGA+U
State: relaxed

* calculated volume: 12.73 A^3/atom
* energy above the most stable polymorph in this dataset: 25 meV per atom

Lattice parameters (Å, degrees): 6.4710 6.4710 9.8323 90.00 90.00 120.00
With the nearest neighbours (Å) after each atom.
Atoms (fractional coordinates):
Li  0.0000  0.0000  0.0000  6 O 2.42
Li  0.0000  0.0000  0.5000  6 O 2.42
Mn  0.6667  0.3333  0.0000  6 O 2.23
Mn  0.6667  0.3333  0.5000  6 O 2.23
P  0.0605  0.4092  0.2500  4 O 1.51-1.60
P  0.0605  0.6513  0.7500  4 O 1.51-1.60
P  0.3487  0.4092  0.7500  4 O 1.51-1.60
P  0.3487  0.9395  0.2500  4 O 1.51-1.60
P  0.5908  0.6513  0.2500  4 O 1.51-1.60
P  0.5908  0.9395  0.7500  4 O 1.51-1.60
O  0.1166  0.4364  0.7500  2 P 1.60
O  0.1166  0.6802  0.2500  2 P 1.60
O  0.3198  0.4364  0.2500  2 P 1.60
O  0.3198  0.8834  0.7500  2 P 1.60
O  0.3538  0.0600  0.1180  1 P 1.51
O  0.3538  0.0600  0.3820  1 P 1.51
O  0.3538  0.2938  0.6180  1 P 1.51
O  0.3538  0.2938  0.8820  1 P 1.51
O  0.5636  0.6802  0.7500  2 P 1.60
O  0.5636  0.8834  0.2500  2 P 1.60
O  0.7062  0.0600  0.6180  1 P 1.51
O  0.7062  0.0600  0.8820  1 P 1.51
O  0.7062  0.6462  0.1180  1 P 1.51
O  0.7062  0.6462  0.3820  1 P 1.51
O  0.9400  0.2938  0.1180  1 P 1.51
O  0.9400  0.2938  0.3820  1 P 1.51
O  0.9400  0.6462  0.6180  1 P 1.51
O  0.9400  0.6462  0.8820  1 P 1.51